{"formula": "Nb3H", "functional": "PBE", "state": "optimized geometry", "magnetic_moment_mub_per_cell": 0.0, "dft_energy_ev_per_atom": -8.27, "de_polymorph_ev_per_atom": 0.000, "space_group": "Imm2", "lattice_angstrom": [[2.743, 0.000, 0.000], [0.000, 4.966, 0.000], [-1.372, -2.483, 4.292]], "species": ["H", "Nb", "Nb", "Nb"], "fractional_positions": [[0.000, 0.044, 0.000], [0.324, 0.696, 0.649], [0.500, 0.378, 0.000], [0.676, 0.047, 0.351]]}